(1)
Density functional theory data (SCAN) for CaMg4Al at its PBEsol-relaxed geometry.

## Properties
Its formation energy is 0.08 eV/atom.

Lattice parameters (Å, degrees): 8.3546 8.3546 8.3546 90.00 90.00 90.00
Space group F-43m (No. 216)
Unique sites:
Ca (0.0000, 0.0000, 0.0000)
Mg (0.1247, 0.1247, 0.3753)
Al (0.2500, 0.2500, 0.7500)

(2)
Density functional theory data (SCAN) for Th3In5 at its PBEsol-relaxed geometry.

## Properties
Its formation energy is -0.46 eV/atom.

Lattice parameters (Å, degrees): 10.1499 8.1929 10.2560 90.00 90.00 90.00
Space group Cmcm (No. 63)
Unique sites:
Th (0.0000, 0.1246, 0.2500)
Th (0.2088, 0.5000, 0.0000)
In (0.0000, 0.1966, 0.5499)
In (0.0000, 0.4886, 0.7500)
In (0.2102, 0.2185, 0.7500)

(3)
Density functional theory data (SCAN) for Cs3Mo5P6O25 at its PBEsol-relaxed geometry.

## Properties
As for the formation energy (no corrections): -8805 kJ/mol of formula units.

Lattice parameters (Å, degrees): 11.8425 11.8425 9.3322 90.00 90.00 120.00
Space group P31c (No. 159)
Unique sites:
Cs (0.1028, 0.4171, 0.0000)
Mo (0.0000, 0.0000, 0.0579)
Mo (0.2058, 0.6707, 0.4227)
Mo (0.3333, 0.6667, 0.6358)
P (0.0619, 0.6395, 0.7247)
P (0.0859, 0.8483, 0.3052)
O (0.0471, 0.7564, 0.7978)
O (0.0475, 0.5564, 0.2817)
O (0.0568, 0.6543, 0.5623)
O (0.0733, 0.1675, 0.1719)
O (0.0794, 0.9150, 0.4410)
O (0.1769, 0.5125, 0.5363)
O (0.1786, 0.3776, 0.3056)
O (0.1961, 0.6682, 0.7779)
O (0.3333, 0.6667, 0.2790)

(4)
Density functional theory data (SCAN) for Li5NbO5 at its PBEsol-relaxed geometry.

## Properties
The distance to the lowest polymorph of the same formula comes out at 0.019 eV/atom. As for the formation energy (no corrections): -2552 kJ/mol of formula units.

Lattice parameters (Å, degrees): 5.6684 9.2126 8.9678 90.00 104.47 90.00
Space group C2/c (No. 15)
Unique sites:
Li (0.0000, 0.1676, 0.2500)
Li (0.1252, 0.3261, 0.0607)
Li (0.1591, 0.1142, 0.5436)
Nb (0.0000, 0.4133, 0.7500)
O (0.0000, 0.3829, 0.2500)
O (0.1598, 0.3305, 0.6056)
O (0.1846, 0.1124, 0.0865)

(5)
Density functional theory data (SCAN) for IrOs3 at its PBEsol-relaxed geometry.

## Properties
Its formation energy is 0.09 eV/atom.

Lattice parameters (Å, degrees): 2.7003 3.8285 5.4062 90.00 90.00 90.00
Space group Pmmm (No. 47)
Unique sites:
Ir (0.0000, 0.0000, 0.0000)
Os (0.0000, 0.0000, 0.5000)
Os (0.5000, 0.5000, 0.2532)

(6)
Density functional theory data (SCAN) for NaNb3Ir at its PBEsol-relaxed geometry.

## Properties
Its formation energy is 0.86 eV/atom.

Lattice parameters (Å, degrees): 4.8979 4.8979 4.8979 90.00 90.00 90.00
Space group Pm-3m (No. 221)
Unique sites:
Na (0.0000, 0.0000, 0.0000)
Nb (0.0000, 0.5000, 0.5000)
Ir (0.5000, 0.5000, 0.5000)

(7)
Density functional theory data (SCAN) for ReSe2Br at its PBEsol-relaxed geometry.

## Properties
The distance to the lowest polymorph of the same formula comes out at 0.271 eV/atom. As for the formation energy (no corrections): 188 kJ/mol of formula units.

Lattice parameters (Å, degrees): 2.9898 4.9307 11.0710 90.00 90.00 90.00
Space group Immm (No. 71)
Unique sites:
Re (0.0000, 0.0000, 0.0000)
Se (0.0000, 0.5000, 0.3194)
Br (0.0000, 0.0000, 0.5000)

(8)
Density functional theory data (SCAN) for YMo6Se8 at its PBEsol-relaxed geometry.

## Properties
As for the formation energy (no corrections): -1142 kJ/mol of formula units.

Lattice parameters (Å, degrees): 9.3135 9.3135 11.7540 90.00 90.00 120.00
Space group R-3 (No. 148, hexagonal axes)
Unique sites:
Y (0.0000, 0.0000, 0.0000)
Mo (0.0190, 0.8452, 0.4047)
Se (0.0000, 0.0000, 0.2368)
Se (0.0092, 0.3800, 0.7511)

(9)
Density functional theory data (SCAN) for ScMoAu2 at its PBEsol-relaxed geometry.

## Properties
Its formation energy is -0.04 eV/atom. The distance to the lowest polymorph of the same formula comes out at 0.260 eV/atom.

Lattice parameters (Å, degrees): 9.6565 2.8234 5.0670 90.00 99.20 90.00
Space group C2/m (No. 12)
Unique sites:
Sc (0.0000, 0.0000, 0.0000)
Mo (0.0000, 0.5000, 0.5000)
Au (0.2443, 0.0000, 0.7424)

(10)
Density functional theory data (SCAN) for AlSiTe3 at its PBEsol-relaxed geometry.

## Properties
As for the formation energy (no corrections): -139 kJ/mol of formula units.

Lattice parameters (Å, degrees): 6.8189 6.8189 7.1282 90.00 90.00 120.00
Space group P-31m (No. 162)
Unique sites:
Al (0.3333, 0.6667, 0.0000)
Si (0.0000, 0.0000, 0.1603)
Te (0.0000, 0.3571, 0.7506)

(11)
Density functional theory data (SCAN) for AlHgPb2 at its PBEsol-relaxed geometry.

## Properties
Its formation energy is 0.11 eV/atom. The distance to the lowest polymorph of the same formula comes out at 0.033 eV/atom.

Lattice parameters (Å, degrees): 4.7524 4.7749 8.7581 90.00 90.00 90.00
Space group Cmm2 (No. 35)
Unique sites:
Al (0.0000, 0.0000, 0.0000)
Hg (0.0000, 0.5000, 0.1887)
Pb (0.0000, 0.0000, 0.4542)
Pb (0.0000, 0.5000, 0.7533)

(12)
Density functional theory data (SCAN) for LiGd2Ir at its PBEsol-relaxed geometry.

## Properties
Its formation energy is -0.57 eV/atom.

Lattice parameters (Å, degrees): 6.9162 6.9162 6.9162 90.00 90.00 90.00
Space group Fm-3m (No. 225)
Unique sites:
Li (0.0000, 0.0000, 0.0000)
Gd (0.2500, 0.2500, 0.2500)
Ir (0.0000, 0.0000, 0.5000)

(13)
Density functional theory data (SCAN) for SbOsPb2 at its PBEsol-relaxed geometry.

## Properties
As for the formation energy (no corrections): 196 kJ/mol of formula units.

Lattice parameters (Å, degrees): 3.2576 4.6850 12.7321 90.00 90.00 90.00
Space group Imm2 (No. 44)
Unique sites:
Sb (0.0000, 0.0000, 0.0000)
Os (0.0000, 0.5000, 0.3349)
Pb (0.0000, 0.0000, 0.6310)
Pb (0.0000, 0.5000, 0.8112)

(14)
Density functional theory data (SCAN) for Na3MoNO3 at its PBEsol-relaxed geometry.

## Properties
As for the formation energy (no corrections): -1340 kJ/mol of formula units.

Lattice parameters (Å, degrees): 7.2610 6.2028 5.5960 90.00 90.00 90.00
Space group Pmn2_1 (No. 31)
Unique sites:
Na (0.0000, 0.1656, 0.0000)
Na (0.2446, 0.3283, 0.5025)
Mo (0.0000, 0.8277, 0.5106)
N (0.0000, 0.8242, 0.8198)
O (0.0000, 0.1089, 0.4133)
O (0.2082, 0.6875, 0.4116)

(15)
Density functional theory data (SCAN) for Mn3SnO8 at its PBEsol-relaxed geometry.

## Properties
As for the formation energy (no corrections): -2199 kJ/mol of formula units.

Lattice parameters (Å, degrees): 8.2591 8.2591 8.2591 90.00 90.00 90.00
Space group P4_332 (No. 212)
Unique sites:
Mn (0.1097, 0.1403, 0.6250)
Sn (0.1250, 0.8750, 0.3750)
O (0.0900, 0.1266, 0.3960)
O (0.1195, 0.6195, 0.8805)

(16)
Density functional theory data (SCAN) for TcMo2Ru at its PBEsol-relaxed geometry.

## Properties
Its formation energy is 0.20 eV/atom. The distance to the lowest polymorph of the same formula comes out at 0.016 eV/atom.

Lattice parameters (Å, degrees): 6.1539 6.1539 6.1539 90.00 90.00 90.00
Space group Fm-3m (No. 225)
Unique sites:
Tc (0.0000, 0.0000, 0.0000)
Mo (0.2500, 0.2500, 0.2500)
Ru (0.0000, 0.0000, 0.5000)

(17)
Density functional theory data (SCAN) for LaMgZn at its PBEsol-relaxed geometry.

## Properties
Its formation energy is -0.23 eV/atom.

Lattice parameters (Å, degrees): 4.9318 4.9318 3.4276 90.00 90.00 120.00
Space group P-6m2 (No. 187)
Unique sites:
La (0.0000, 0.0000, 0.0000)
Mg (0.3333, 0.6667, 0.5000)
Zn (0.6667, 0.3333, 0.5000)

(18)
Density functional theory data (SCAN) for LuZn3 at its PBEsol-relaxed geometry.

## Properties
Its formation energy is -0.42 eV/atom.

Lattice parameters (Å, degrees): 6.5067 4.2183 9.7740 90.00 90.00 90.00
Space group Pnma (No. 62)
Unique sites:
Lu (0.2237, 0.2500, 0.1648)
Zn (0.0390, 0.7500, 0.3973)
Zn (0.0768, 0.2500, 0.8528)
Zn (0.2167, 0.7500, 0.9578)

(19)
Density functional theory data (SCAN) for BaCaTc2 at its PBEsol-relaxed geometry.

## Properties
Its formation energy is 1.26 eV/atom. The distance to the lowest polymorph of the same formula comes out at 0.865 eV/atom.

Lattice parameters (Å, degrees): 4.0127 4.0127 5.1481 90.00 90.00 90.00
Space group P4/mmm (No. 123)
Unique sites:
Ba (0.0000, 0.0000, 0.0000)
Ca (0.5000, 0.5000, 0.0000)
Tc (0.0000, 0.5000, 0.5000)

Electronic total energy
In order: -6.13 -57.29 -15.31 -9.34 -71.60 -34.08 -32.19 -27.31 -46.90 -26.19 -56.76 -48.35 -64.67 -11.17 -13.61 -34.71 -20.76 -24.40 -28.58
Unit: eV/atom